The following is a PBE-GGA calculation of a relaxed structure of MnInIr, from Alexandria via LeMat-Bulk.

Results
- M_tot (μB per atom) = 0.587
- ΔH_f (0 K) (kJ/mol of formula units) = 39
- raw total energy (eV/atom) = -6.788

Cell lengths 13.942, 2.957, 4.762 Å; angles 90.00, 103.98, 90.00 degrees
Space group C2/m (No. 12)
Unique sites:
Mn: 0.243 0.000 0.303 (multiplicity 4)
In: 0.093 0.000 0.772 (multiplicity 4)
Ir: 0.090 0.500 0.266 (multiplicity 4)